Entry 1:
First-principles (PBE) data for a relaxed structure of PmTmTh, as listed in Alexandria.

Cell: 3.592 3.592 15.036 Å, 90.00 90.00 90.00°
Sites, in units of the cell vectors:
Pm 0.000 0.000 0.000
Pm 0.500 0.500 0.500
Tm 0.000 0.000 0.679
Tm 0.500 0.500 0.179
Th 0.000 0.000 0.336
Th 0.500 0.500 0.836

Its total energy is -5.51 eV/atom.


Entry 2:
First-principles (PBE) data for a relaxed structure of PmTmTh2, as listed in Alexandria.

Cell: 3.485 3.485 37.234 Å, 90.00 90.00 120.00°
Sites, in units of the cell vectors:
Pm 0.000 0.000 0.000
Pm 0.333 0.667 0.667
Pm 0.667 0.333 0.333
Tm 0.000 0.000 0.500
Tm 0.333 0.667 0.167
Tm 0.667 0.333 0.833
Th 0.000 0.000 0.088
Th 0.000 0.000 0.912
Th 0.333 0.667 0.578
Th 0.333 0.667 0.755
Th 0.667 0.333 0.245
Th 0.667 0.333 0.422

Its total energy is -5.83 eV/atom.


Entry 3:
First-principles (PBE) data for a relaxed structure of PmTm2Th2, as listed in Alexandria.

Cell: 3.568 3.568 43.245 Å, 90.00 90.00 120.00°
Sites, in units of the cell vectors:
Pm 0.000 0.000 0.000
Pm 0.333 0.667 0.667
Pm 0.667 0.333 0.333
Tm 0.000 0.000 0.401
Tm 0.000 0.000 0.599
Tm 0.333 0.667 0.068
Tm 0.333 0.667 0.266
Tm 0.667 0.333 0.734
Tm 0.667 0.333 0.932
Th 0.000 0.000 0.199
Th 0.000 0.000 0.801
Th 0.333 0.667 0.467
Th 0.333 0.667 0.866
Th 0.667 0.333 0.134
Th 0.667 0.333 0.533

Its total energy is -5.69 eV/atom.


Number 1: distance to the lowest polymorph of the same formula 0.016 eV/f.u.. Number 2: distance to the lowest polymorph of the same formula 0.639 eV/f.u.. Number 3: distance to the lowest polymorph of the same formula 0.000 eV/f.u..